# PBE-GGA CsRb8Au3, relaxed
# Volume = 79.987 A^3/atom
# Crystal system = trigonal
# Energy relative to the elements = -0.0837 eV per atom
data_CsRb8Au3
_chemical_formula_sum 'Cs3 Rb24 Au9'
_cell_length_a 9.9374
_cell_length_b 9.9374
_cell_length_c 33.6702
_cell_angle_alpha 90.00
_cell_angle_beta 90.00
_cell_angle_gamma 120.00
_symmetry_space_group_name_H-M 'R -3 m'
_symmetry_Int_Tables_number 166
_symmetry_space_group_name_Hall '-R 3 2"'
loop_
_atom_site_label
_atom_site_type_symbol
_atom_site_fract_x
_atom_site_fract_y
_atom_site_fract_z
Cs1 Cs 0.0000 0.0000 0.0000
Rb1 Rb 0.0000 0.0000 0.2259
Rb2 Rb 0.0082 0.5041 0.2233
Au1 Au 0.0000 0.5000 0.5000